DFT (PBE-GGA) results for a relaxed structure of Na4MoH6.

Output
As for the total magnetization: 3.46 μB per formula unit. The calculation puts the calculated volume at 308 Å³/cell. The value obtained for the final energy is -0.1195 Ha/atom.

Cell: 5.553 5.553 11.846 Å, 104.56 104.56 61.73°
Positions (direct):
Na 0.117 0.520 0.858
Na 0.184 0.669 0.196
Na 0.196 0.804 0.500
Na 0.474 0.907 0.070
Na 0.520 0.117 0.358
Na 0.669 0.184 0.696
Na 0.804 0.196 0.000
Na 0.907 0.474 0.570
Mo 0.431 0.843 0.784
Mo 0.843 0.431 0.284
H 0.107 0.416 0.418
H 0.123 0.261 0.193
H 0.131 0.777 0.026
H 0.261 0.123 0.693
H 0.281 0.628 0.676
H 0.416 0.107 0.918
H 0.554 0.635 0.376
H 0.628 0.281 0.176
H 0.635 0.554 0.876
H 0.744 0.763 0.732
H 0.763 0.744 0.232
H 0.777 0.131 0.526